No. 1
The following is a PBE calculation of a relaxed structure of Ho6Mg2Tc, from the Alexandria database.

Cell lengths 3.6819, 8.9534, 8.8038 Å; angles 120.56, 90.00, 90.00 degrees
Last column: nearest neighbours and their distance in Å.
Sites, in units of the cell vectors:
Ho 0.0000 0.7574 0.7648  2 Tc 2.86
Ho 0.0000 0.9926 0.2352  2 Tc 2.86
Ho 0.5000 0.6111 0.0000  4 Mg 3.31, 8 Ho 3.49-3.70, 1 Tc 3.63
Ho 0.0000 0.2526 0.0000  2 Tc 2.80
Ho 0.5000 0.3739 0.3751  1 Tc 3.22, 4 Mg 3.31-3.36, 4 Ho 3.44-3.50
Ho 0.5000 0.9988 0.6249  1 Tc 3.22, 4 Mg 3.31-3.36, 4 Ho 3.44-3.50
Mg 0.0000 0.6670 0.3371  9 Ho 3.31-3.46, 2 Mg 3.68
Mg 0.0000 0.3299 0.6629  9 Ho 3.31-3.46, 2 Mg 3.68
Tc 0.5000 0.0168 0.0000  6 Ho 2.80-2.86

Summary:
**Density**: 7.550 g/cm³
**Energy above the most stable polymorph in this dataset**: 0.000 eV/atom
**Energy of formation from the pure elements**: -15 kJ/mol of formula units


No. 2
The following is a PBE calculation of a relaxed structure of Ho3MgTc, from the Alexandria database.

Cell lengths 4.5974, 6.1708, 10.1075 Å; angles 90.00, 90.00, 111.87 degrees
Last column: nearest neighbours and their distance in Å.
Sites, in units of the cell vectors:
Mg 0.1782 0.3564 0.2500  7 Ho 3.13-3.47, 2 Tc 3.25
Mg 0.8218 0.6436 0.7500  7 Ho 3.13-3.47, 2 Tc 3.25
Ho 0.0949 0.1898 0.7500  2 Tc 2.75
Ho 0.3590 0.7180 0.9665  2 Tc 2.83
Ho 0.3590 0.7180 0.5335  2 Tc 2.83
Ho 0.6410 0.2820 0.4665  2 Tc 2.83
Ho 0.9051 0.8102 0.2500  2 Tc 2.75
Ho 0.6410 0.2820 0.0335  2 Tc 2.83
Tc 0.0000 0.0000 0.0000  6 Ho 2.75-2.83
Tc 0.0000 0.0000 0.5000  6 Ho 2.75-2.83

Summary:
**Density**: 7.701 g/cm³
**Energy above the most stable polymorph in this dataset**: 0.026 eV/atom
**Energy of formation from the pure elements**: 6 kJ/mol of formula units


No. 3
The following is a PBE calculation of a relaxed structure of Ho5MgTc, from the Alexandria database.

Cell lengths 5.8956, 5.8956, 11.8976 Å; angles 77.70, 77.70, 78.50 degrees
Last column: nearest neighbours and their distance in Å.
Sites, in units of the cell vectors:
Mg 0.6135 0.3865 0.7500  3 Ho 3.07-3.16
Mg 0.3865 0.6135 0.2500  3 Ho 3.07-3.16
Ho 0.0254 0.9746 0.7500  2 Tc 2.98, 1 Mg 3.07, 2 Ho 3.32
Ho 0.0825 0.4121 0.8765  1 Tc 2.63
Ho 0.5879 0.9175 0.6235  1 Tc 2.63
Ho 0.2024 0.5394 0.5684  1 Tc 2.76
Ho 0.5394 0.2024 0.0684  1 Tc 2.76
Ho 0.7976 0.4606 0.4316  1 Tc 2.76
Ho 0.9746 0.0254 0.2500  2 Tc 2.98, 1 Mg 3.07, 2 Ho 3.32
Ho 0.9175 0.5879 0.1235  1 Tc 2.63
Ho 0.4121 0.0825 0.3765  1 Tc 2.63
Ho 0.4606 0.7976 0.9316  1 Tc 2.76
Tc 0.0000 0.0000 0.5000  4 Ho 2.63-2.76
Tc 0.0000 0.0000 0.0000  4 Ho 2.63-2.76

Summary:
**Density**: 8.072 g/cm³
**Energy of formation from the pure elements**: 42 kJ/mol of formula units